[1]
The following is a PBE-GGA calculation of a relaxed structure of Zr2MnAg, from the Alexandria database.

Cell: 11.044 3.214 4.825 Å, 90.00 115.83 90.00°
Space group Cm (No. 8)
Inequivalent atoms, fractional coordinates:
Zr (0.000, 0.000, 0.000) (multiplicity 2)
Zr (0.220, 0.000, 0.718) (multiplicity 2)
Mn (0.491, 0.000, 0.491) (multiplicity 2)
Ag (0.268, 0.500, 0.267) (multiplicity 2)

Total DFT energy (no corrections): -57.28 eV for the cell shown



[2]
The following is a PBE-GGA calculation of a relaxed structure of ZrMn4Ag, from the Alexandria database.

Cell: 6.894 6.894 6.894 Å, 90.00 90.00 90.00°
Space group F-43m (No. 216)
Inequivalent atoms, fractional coordinates:
Zr (0.000, 0.000, 0.000) (multiplicity 4)
Mn (0.123, 0.123, 0.623) (multiplicity 16)
Ag (0.250, 0.250, 0.250) (multiplicity 4)

Total DFT energy (no corrections): -189.37 eV for the cell shown



[3]
The following is a PBE-GGA calculation of a relaxed structure of ZrMnAg2, from the Alexandria database.

Cell: 3.197 4.864 9.454 Å, 90.00 90.00 90.00°
Space group Imm2 (No. 44)
Inequivalent atoms, fractional coordinates:
Zr (0.000, 0.000, 0.000) (multiplicity 2)
Mn (0.000, 0.500, 0.257) (multiplicity 2)
Ag (0.000, 0.000, 0.522) (multiplicity 2)
Ag (0.000, 0.500, 0.769) (multiplicity 2)

Total DFT energy (no corrections): -45.18 eV for the cell shown



[4]
The following is a PBE-GGA calculation of a relaxed structure of ZrMn3Ag, from the Alexandria database.

Cell: 4.813 4.813 4.813 Å, 90.00 90.00 90.00°
Space group Pm-3m (No. 221)
Inequivalent atoms, fractional coordinates:
Zr (0.000, 0.000, 0.000) (multiplicity 1)
Mn (0.000, 0.500, 0.500) (multiplicity 3)
Ag (0.500, 0.500, 0.500) (multiplicity 1)

Energy relative to the lowest polymorph listed for this composition: 0.000 eV/atom
Total DFT energy (no corrections): -33.13 eV for the cell shown



[5]
The following is a PBE-GGA calculation of a relaxed structure of Zr4MnAg, from the Alexandria database.

Cell: 8.080 8.080 8.080 Å, 90.00 90.00 90.00°
Space group F-43m (No. 216)
Inequivalent atoms, fractional coordinates:
Zr (0.124, 0.124, 0.376) (multiplicity 16)
Mn (0.250, 0.250, 0.750) (multiplicity 4)
Ag (0.000, 0.000, 0.000) (multiplicity 4)

Total DFT energy (no corrections): -172.69 eV for the cell shown



[6]
The following is a PBE-GGA calculation of a relaxed structure of ZrMn3Ag, from the Alexandria database.

Cell: 4.790 4.790 4.790 Å, 90.00 90.00 90.00°
Space group Pm-3m (No. 221)
Inequivalent atoms, fractional coordinates:
Zr (0.000, 0.000, 0.000) (multiplicity 1)
Mn (0.000, 0.000, 0.500) (multiplicity 3)
Ag (0.500, 0.500, 0.500) (multiplicity 1)

Energy relative to the lowest polymorph listed for this composition: 0.227 eV/atom
Total DFT energy (no corrections): -32.00 eV for the cell shown